# Nd2Th2CoRh2 | Alexandria via LeMat-Bulk | PBE | optimized geometry
# Crystal system ... monoclinic
# Calculated formation energy ... -0.4669 eV/atom
data_Nd2Th2CoRh2
_chemical_formula_sum 'Nd2 Th2 Co1 Rh2'
_symmetry_space_group_name_H-M 'P 1'
_symmetry_Int_Tables_number 1
_cell_length_a 4.002
_cell_length_b 7.438
_cell_length_c 7.608
_cell_angle_alpha 57.66
_cell_angle_beta 74.69
_cell_angle_gamma 89.95
loop_
_symmetry_equiv_pos_as_xyz
'x,y,z'
loop_
_atom_site_label
_atom_site_fract_x
_atom_site_fract_y
_atom_site_fract_z
Nd1 0.525 0.290 0.950
Co1 0.000 0.000 0.000
Rh1 0.868 0.299 0.262
Th1 0.213 0.167 0.573
Nd2 0.475 0.710 0.050
Th2 0.787 0.833 0.427
Rh2 0.132 0.701 0.738